{"formula": "Li3BePt2", "functional": "PBE", "state": "relaxed", "lattice": [[2.1805, -6.5548, 0.0000], [2.1805, 6.5548, 0.0000], [0.0000, 0.0000, 2.8165]], "species": ["Li", "Li", "Li", "Be", "Pt", "Pt"], "frac_coords": [[0.0000, 0.0000, 0.0000], [0.1877, 0.8123, 0.5000], [0.8123, 0.1877, 0.5000], [0.5000, 0.5000, 0.5000], [0.3660, 0.6340, 0.0000], [0.6340, 0.3660, 0.0000]], "sg": "No. 65", "delta_e_f_ev_per_atom": -0.58, "magnetic_moment_mub_per_cell": 0.00}